[1]
BaSr2W: relaxed, PBE.

For the energy of formation, the calculation gives 94.4 kJ/mol of atoms.

Cell: 3.9567 3.9567 10.3281 Å, 90.00 90.00 90.00°
With the nearest neighbours (Å) after each atom.
Space group P4mm (No. 99)
Symmetry-distinct sites (fractional):
Ba1 0.0000 0.0000 0.0000  4 W 3.43, 1 Sr 3.81
Sr1 0.0000 0.0000 0.6315  4 W 3.34
Sr2 0.5000 0.5000 0.3255  8 Sr 3.96-4.22, 4 Ba 4.37
W1 0.5000 0.5000 0.8082  4 Sr 3.34, 4 Ba 3.43



[2]
MgPt3Rh: relaxed, PBE.

For the energy of formation, the calculation gives 103.3 kJ/mol of atoms.

Cell: 4.5420 4.5420 4.5420 Å, 90.00 90.00 90.00°
With the nearest neighbours (Å) after each atom.
Space group Pm-3m (No. 221)
Symmetry-distinct sites (fractional):
Mg1 0.0000 0.0000 0.0000  6 Pt 2.27
Pt1 0.0000 0.0000 0.5000  2 Mg 2.27
Rh1 0.5000 0.5000 0.5000  12 Pt 3.21



[3]
NbTe4: relaxed, PBE.

Cell: 5.3981 5.3981 5.3981 Å, 90.00 90.00 90.00°
With the nearest neighbours (Å) after each atom.
Space group Pm-3m (No. 221)
Symmetry-distinct sites (fractional):
Nb1 0.0000 0.0000 0.0000  6 Te 2.70
Te1 0.0000 0.0000 0.5000  2 Nb 2.70
Te2 0.5000 0.5000 0.5000  12 Te 3.82



[4]
YTlV2: relaxed, PBE.

For the energy of formation, the calculation gives 47.2 kJ/mol of atoms.

Cell: 7.0025 7.0025 7.0025 Å, 90.00 90.00 90.00°
With the nearest neighbours (Å) after each atom.
Space group Fm-3m (No. 225)
Symmetry-distinct sites (fractional):
Y1 0.0000 0.0000 0.0000  8 V 3.03
Tl1 0.0000 0.0000 0.5000  8 V 3.03
V1 0.2500 0.2500 0.2500  4 Tl 3.03, 4 Y 3.03



[5]
Cs2IrF5: relaxed, PBE.

Cell: 6.7459 6.7459 8.2990 Å, 90.00 90.00 90.00°
With the nearest neighbours (Å) after each atom.
Space group I4mm (No. 107)
Symmetry-distinct sites (fractional):
Cs1 0.0000 0.5000 0.0000  10 F 3.17-3.38
Ir1 0.0000 0.0000 0.2523  5 F 1.94-2.03
F1 0.0000 0.0000 0.4857  1 Ir 1.94
F2 0.2129 0.2129 0.2472  1 Ir 2.03



| no. | DFT total energy (eV/f.u.) |
| --- | --- |
| 1 | -14.3 |
| 2 | -21.7 |
| 3 | -21.4 |
| 4 | -25.1 |
| 5 | -35.9 |